1.
Bi2SeF3: relaxed, GGA-PBE.

Structure (POSCAR):
```
Bi2SeF3
1.0
4.234 0.000 0.000
-2.117 8.246 -0.427
0.000 -4.110 7.120
Bi Se F
4 2 6
direct
0.497 0.994 0.802 Bi
0.503 0.006 0.198 Bi
0.795 0.591 0.295 Bi
0.205 0.409 0.705 Bi
0.854 0.708 0.013 Se
0.146 0.292 0.987 Se
0.324 0.649 0.642 F
0.925 0.849 0.614 F
0.633 0.266 0.647 F
0.367 0.734 0.353 F
0.075 0.151 0.386 F
0.676 0.351 0.358 F
```

- size of the total moment (μB per atom) = 0.0000
- SG = C2/m
- formation energy (no corrections) (meV/atom) = -1610
- calculated density (g/cm3) = 7.6

2.
Bi3SeF: relaxed, GGA-PBE.

Structure (POSCAR):
```
Bi3SeF
1.0
-4.330 -2.206 -1.535
1.769 -4.530 1.522
-2.024 0.760 4.615
Bi Se F
3 1 1
direct
0.000 0.500 0.000 Bi
0.000 0.000 0.500 Bi
0.500 0.000 0.000 Bi
0.500 0.500 0.500 Se
0.000 0.000 0.000 F
```

- size of the total moment (μB per atom) = 0.0000
- SG = Pm-3m
- energy above the lowest structure with this stoichiometry (meV per atom) = 0.0
- formation energy (no corrections) (meV/atom) = -79
- calculated density (g/cm3) = 9.1
- Fermi-level density of states (states/eV per atom) = 0.855

3.
BiSeF3: relaxed, GGA-PBE.

Structure (POSCAR):
```
BiSeF3
1.0
-0.562 -3.017 -1.954
5.944 0.112 -1.883
5.226 -2.882 16.320
Bi Se F
4 4 12
direct
0.375 0.257 0.063 Bi
0.375 0.743 0.563 Bi
0.625 0.257 0.437 Bi
0.625 0.743 0.937 Bi
0.351 0.881 0.301 Se
0.649 0.881 0.199 Se
0.351 0.119 0.801 Se
0.649 0.119 0.699 Se
0.874 0.021 0.562 F
0.874 0.979 0.062 F
0.969 0.629 0.858 F
0.312 0.632 0.032 F
0.969 0.371 0.358 F
0.126 0.979 0.438 F
0.688 0.632 0.468 F
0.031 0.629 0.642 F
0.688 0.368 0.968 F
0.031 0.371 0.142 F
0.126 0.021 0.938 F
0.312 0.368 0.532 F
```

- size of the total moment (μB per atom) = 0.0000
- SG = P2/c
- energy above the lowest structure with this stoichiometry (meV per atom) = 0.0
- formation energy (no corrections) (meV/atom) = -1846
- calculated density (g/cm3) = 6.4
- Fermi-level density of states (states/eV per atom) = 0.169

4.
Bi2Se2F: relaxed, GGA-PBE.

Structure (POSCAR):
```
Bi2Se2F
1.0
-0.922 -1.019 3.781
6.212 -5.930 -0.084
5.476 5.725 0.738
Bi Se F
4 4 2
direct
0.585 0.477 0.169 Bi
0.184 0.016 0.367 Bi
0.816 0.516 0.633 Bi
0.415 0.977 0.831 Bi
0.047 0.262 0.093 Se
0.209 0.663 0.417 Se
0.791 0.163 0.583 Se
0.953 0.762 0.907 Se
0.607 0.948 0.214 F
0.393 0.448 0.786 F
```

- size of the total moment (μB per atom) = 0.0000
- SG = Cmc2_1
- formation energy (no corrections) (meV/atom) = -761
- calculated density (g/cm3) = 7.4
- Fermi-level density of states (states/eV per atom) = 0.341

5.
BiSeF3: relaxed, GGA-PBE.

Structure (POSCAR):
```
BiSeF3
1.0
4.492 0.000 0.000
0.000 4.492 0.000
0.000 0.000 4.492
Bi Se F
1 1 3
direct
0.500 0.500 0.500 Bi
0.000 0.000 0.000 Se
0.000 0.500 0.000 F
0.000 0.000 0.500 F
0.500 0.000 0.000 F
```

- size of the total moment (μB per atom) = 0.0000
- SG = Pm-3m
- energy above the lowest structure with this stoichiometry (meV per atom) = 1223.3
- formation energy (no corrections) (meV/atom) = -623
- calculated density (g/cm3) = 6.3
- Fermi-level density of states (states/eV per atom) = 0.373

6.
Bi2SeF: relaxed, GGA-PBE.

Structure (POSCAR):
```
Bi2SeF
1.0
0.000 3.579 3.579
3.579 0.000 3.579
3.579 3.579 0.000
Bi Se F
2 1 1
direct
0.250 0.250 0.250 Bi
0.750 0.750 0.750 Bi
0.500 0.500 0.500 Se
0.000 0.000 0.000 F
```

- size of the total moment (μB per atom) = 0.0000
- SG = Fm-3m
- energy above the lowest structure with this stoichiometry (meV per atom) = 152.4
- formation energy (no corrections) (meV/atom) = -509
- calculated density (g/cm3) = 9.3
- Fermi-level density of states (states/eV per atom) = 0.389

7.
Bi2SeF: relaxed, GGA-PBE.

Structure (POSCAR):
```
Bi2SeF
1.0
-6.733 -3.005 -1.835
0.103 -4.125 6.379
-4.870 -1.079 3.905
Bi Se F
4 2 2
direct
0.596 0.125 0.250 Bi
0.154 0.625 0.250 Bi
0.375 0.404 0.750 Bi
0.875 0.846 0.750 Bi
0.000 0.000 0.000 Se
0.750 0.250 0.500 Se
0.500 0.500 0.000 F
0.250 0.750 0.500 F
```

- size of the total moment (μB per atom) = 0.0000
- SG = I-42d
- energy above the lowest structure with this stoichiometry (meV per atom) = 0.0
- formation energy (no corrections) (meV/atom) = -661
- calculated density (g/cm3) = 8.8
- Fermi-level density of states (states/eV per atom) = 0.530

8.
BiSe2F: relaxed, GGA-PBE.

Structure (POSCAR):
```
BiSe2F
1.0
-0.247 -4.758 -1.155
-4.268 -2.388 0.344
-2.350 -1.417 -4.062
Bi Se F
1 2 1
direct
0.500 0.500 0.500 Bi
0.250 0.250 0.250 Se
0.750 0.750 0.750 Se
0.000 0.000 0.000 F
```

- size of the total moment (μB per atom) = 0.0000
- SG = Fm-3m
- energy above the lowest structure with this stoichiometry (meV per atom) = 529.4
- formation energy (no corrections) (meV/atom) = -283
- calculated density (g/cm3) = 7.7
- Fermi-level density of states (states/eV per atom) = 1.101

What is the formula in the second record? Bi3SeF